Entry 1:
Density functional theory data (PBE) for crystalline PmHo2Ir at its relaxed geometry.

The space group is R3m (No. 160, hexagonal axes) and the conventional cell measures 4.0069, 4.0069 and 26.2116 Å, with angles of 90.00, 90.00 and 120.00 degrees. Symmetry generates all atoms from Pm at (0.0000, 0.0000, 0.0000), Ho at (0.0000, 0.0000, 0.5531), Ho at (0.0000, 0.0000, 0.7747) and Ir at (0.0000, 0.0000, 0.1639).

As for the crystal system: trigonal. The calculation puts the energy of formation at -0.371 eV per atom.



Entry 2:
Density functional theory data (PBE) for crystalline NaSb2CI at its relaxed geometry.

The space group is P4/mmm (No. 123) and the conventional cell measures 4.5410, 4.5410 and 9.1144 Å, with angles of 90.00, 90.00 and 90.00 degrees. Symmetry generates all atoms from Na at (0.0000, 0.0000, 0.0000), Sb at (0.0000, 0.5000, 0.5000), C at (0.5000, 0.5000, 0.5000) and I at (0.5000, 0.5000, 0.0000).

The raw formation energy is 0.5935 eV per atom. As for the crystal system: tetragonal.



Entry 3:
Density functional theory data (PBE) for crystalline GaRhAu3 at its relaxed geometry.

The space group is Pm-3m (No. 221) and the conventional cell measures 4.7545, 4.7545 and 4.7545 Å, with angles of 90.00, 90.00 and 90.00 degrees. Symmetry generates all atoms from Ga at (0.0000, 0.0000, 0.0000), Rh at (0.5000, 0.5000, 0.5000) and Au at (0.0000, 0.0000, 0.5000).

As for the crystal system: cubic. The calculation puts the energy of formation at 0.752 eV per atom.



Entry 4:
Density functional theory data (PBE) for crystalline SiPbAu3 at its relaxed geometry.

The space group is Pm-3m (No. 221) and the conventional cell measures 4.8604, 4.8604 and 4.8604 Å, with angles of 90.00, 90.00 and 90.00 degrees. Symmetry generates all atoms from Si at (0.0000, 0.0000, 0.0000), Pb at (0.5000, 0.5000, 0.5000) and Au at (0.0000, 0.0000, 0.5000).

The raw formation energy is 0.0676 eV per atom. As for the crystal system: cubic.



Entry 5:
Density functional theory data (PBE) for crystalline TaTiTc2Ni at its relaxed geometry.

The space group is P4/mmm (No. 123) and the conventional cell measures 4.4117, 4.4117 and 4.7063 Å, with angles of 90.00, 90.00 and 90.00 degrees. Symmetry generates all atoms from Ta at (0.0000, 0.0000, 0.0000), Ti at (0.0000, 0.0000, 0.5000), Tc at (0.0000, 0.5000, 0.5000) and Ni at (0.5000, 0.5000, 0.0000).

As for the crystal system: tetragonal. The calculation puts the energy of formation at 1.498 eV per atom.



Entry 6:
Density functional theory data (PBE) for crystalline AcThPS at its relaxed geometry.

The space group is R3m (No. 160, hexagonal axes) and the conventional cell measures 4.0970, 4.0970 and 22.4162 Å, with angles of 90.00, 90.00 and 120.00 degrees. Symmetry generates all atoms from Ac at (0.0000, 0.0000, 0.0000), Th at (0.0000, 0.0000, 0.1787), P at (0.0000, 0.0000, 0.5851) and S at (0.0000, 0.0000, 0.4280).

The raw formation energy is -1.6243 eV per atom. As for the crystal system: trigonal.



Entry 7:
Density functional theory data (PBE) for crystalline TaBiMo2H at its relaxed geometry.

The space group is P4/mmm (No. 123) and the conventional cell measures 4.4975, 4.4975 and 3.7352 Å, with angles of 90.00, 90.00 and 90.00 degrees. Symmetry generates all atoms from Ta at (0.0000, 0.0000, 0.0000), Bi at (0.5000, 0.5000, 0.0000), Mo at (0.0000, 0.5000, 0.5000) and H at (0.0000, 0.0000, 0.5000).

The total energy is -38.7 eV/cell. As for the crystal system: tetragonal.



Entry 8:
Density functional theory data (PBE) for crystalline RbTl at its relaxed geometry.

The space group is P6_3/mmc (No. 194) and the conventional cell measures 6.3686, 6.3686 and 7.5877 Å, with angles of 90.00, 90.00 and 120.00 degrees. Symmetry generates all atoms from Rb at (0.3333, 0.6667, 0.2500) and Tl at (0.3333, 0.6667, 0.7500).

As for the crystal system: hexagonal. The calculation puts the energy of formation at 0.361 eV per atom.



Entry 9:
Density functional theory data (PBE) for crystalline Ba3HN at its relaxed geometry.

The space group is Pm-3m (No. 221) and the conventional cell measures 5.5927, 5.5927 and 5.5927 Å, with angles of 90.00, 90.00 and 90.00 degrees. Symmetry generates all atoms from Ba at (0.0000, 0.0000, 0.5000), H at (0.5000, 0.5000, 0.5000) and N at (0.0000, 0.0000, 0.0000).

The total energy is -17.1 eV/cell. As for the crystal system: cubic.